## RbBa3Hg (PBE)

Data for a relaxed structure of RbBa3Hg.

abc: 6.8281 6.8281 6.8281
angles: 90.00 90.00 90.00
Space group Pm-3m (No. 221)
Unique sites:
Rb 0.0000 0.0000 0.0000 (multiplicity 1)
Ba 0.0000 0.5000 0.5000 (multiplicity 3)
Hg 0.5000 0.5000 0.5000 (multiplicity 1)

Values from the calculation:
calculated density: 3.6 g/cm³
relative energy among the computed polymorphs: 0 meV/atom
size of the total moment: 0.000 μB per formula unit
energy of formation: -135.6 meV per atom
uncorrected energy: -1.5431 eV per atom